Entry 1:
Density functional theory data (GGA-PBE) for BeOs2I after structural relaxation.

Computed properties:
- energy relative to the elements, uncorrected (eV per formula unit) = 1.28
- polymorph energy (0 for the lowest one) (meV/atom) = 59
- V (Å³/atom) = 20.8
- DOS(E_F) (states/eV/cell) = 6.51
- total energy (eV per cell) = -52.920

Unit cell a=4.162 b=4.165 c=11.214 alpha=97.01 beta=93.70 gamma=119.57
Fractional positions:
Be 0.000 0.000 0.000
Be 0.225 0.523 0.746
Os 0.320 0.646 0.966
Os 0.602 0.236 0.836
Os 0.700 0.369 0.071
Os 0.910 0.880 0.788
I 0.109 0.134 0.230
I 0.958 0.603 0.554

***

Entry 2:
Density functional theory data (GGA-PBE) for BeOs2I after structural relaxation.

Computed properties:
- energy relative to the elements, uncorrected (eV per formula unit) = 4.36
- polymorph energy (0 for the lowest one) (meV/atom) = 829
- V (Å³/atom) = 18.9
- DOS(E_F) (states/eV/cell) = 13.40
- total energy (eV per cell) = -93.520

Unit cell a=4.409 b=4.409 c=15.535 alpha=90.00 beta=90.00 gamma=90.00
Fractional positions:
Be 0.000 0.000 0.000
Be 0.000 0.500 0.250
Be 0.500 0.000 0.750
Be 0.500 0.500 0.500
Os 0.126 0.250 0.125
Os 0.250 0.626 0.375
Os 0.250 0.874 0.875
Os 0.374 0.250 0.625
Os 0.626 0.750 0.625
Os 0.750 0.126 0.875
Os 0.750 0.374 0.375
Os 0.874 0.750 0.125
I 0.000 0.000 0.500
I 0.000 0.500 0.750
I 0.500 0.000 0.250
I 0.500 0.500 0.000

***

Entry 3:
Density functional theory data (GGA-PBE) for BeOs2I after structural relaxation.

Computed properties:
- energy relative to the elements, uncorrected (eV per formula unit) = 1.20
- polymorph energy (0 for the lowest one) (meV/atom) = 40
- V (Å³/atom) = 21.4
- DOS(E_F) (states/eV/cell) = 3.57
- total energy (eV per cell) = -53.069

Unit cell a=3.846 b=4.334 c=11.451 alpha=86.10 beta=86.53 gamma=64.21
Fractional positions:
Be 0.000 0.000 0.000
Be 0.122 0.836 0.803
Os 0.414 0.227 0.875
Os 0.543 0.033 0.658
Os 0.708 0.630 0.942
Os 0.829 0.439 0.727
I 0.090 0.001 0.487
I 0.846 0.692 0.170

***

Entry 4:
Density functional theory data (GGA-PBE) for BeOs2I after structural relaxation.

Computed properties:
- energy relative to the elements, uncorrected (eV per formula unit) = 1.27
- polymorph energy (0 for the lowest one) (meV/atom) = 58
- V (Å³/atom) = 20.6
- DOS(E_F) (states/eV/cell) = 12.81
- total energy (eV per cell) = -105.856

Unit cell a=7.197 b=4.190 c=11.004 alpha=90.00 beta=96.88 gamma=90.00
Fractional positions:
Be 0.000 0.000 0.000
Be 0.115 0.500 0.744
Be 0.500 0.500 0.000
Be 0.615 0.000 0.744
Os 0.158 0.500 0.966
Os 0.295 0.000 0.835
Os 0.344 0.000 0.071
Os 0.456 0.500 0.787
Os 0.658 0.000 0.966
Os 0.795 0.500 0.835
Os 0.844 0.500 0.071
Os 0.956 0.000 0.787
I 0.043 0.000 0.231
I 0.262 0.500 0.550
I 0.543 0.500 0.231
I 0.762 0.000 0.550

***

Entry 5:
Density functional theory data (GGA-PBE) for BeOs2I after structural relaxation.

Computed properties:
- energy relative to the elements, uncorrected (eV per formula unit) = 1.23
- polymorph energy (0 for the lowest one) (meV/atom) = 48
- V (Å³/atom) = 21.1
- DOS(E_F) (states/eV/cell) = 5.31
- total energy (eV per cell) = -53.008

Unit cell a=4.038 b=4.050 c=11.934 alpha=90.45 beta=91.59 gamma=119.87
Fractional positions:
Be 0.000 0.000 0.000
Be 0.404 0.711 0.139
Os 0.080 0.053 0.198
Os 0.312 0.654 0.937
Os 0.680 0.341 0.038
Os 0.770 0.402 0.261
I 0.141 0.066 0.784
I 0.760 0.399 0.477

***

Entry 6:
Density functional theory data (GGA-PBE) for BeOs2I after structural relaxation.

Computed properties:
- energy relative to the elements, uncorrected (eV per formula unit) = 1.04
- polymorph energy (0 for the lowest one) (meV/atom) = 0
- V (Å³/atom) = 22.3
- DOS(E_F) (states/eV/cell) = 2.67
- total energy (eV per cell) = -53.389

Unit cell a=4.384 b=4.407 c=10.503 alpha=83.23 beta=86.16 gamma=62.21
Fractional positions:
Be 0.000 0.000 0.000
Be 0.348 0.685 0.827
Os 0.012 0.362 0.801
Os 0.339 0.315 0.009
Os 0.682 0.663 0.004
Os 0.683 0.039 0.800
I 0.453 0.482 0.243
I 0.810 0.760 0.569

***

Entry 7:
Density functional theory data (GGA-PBE) for BeOs2I after structural relaxation.

Computed properties:
- energy relative to the elements, uncorrected (eV per formula unit) = 1.42
- polymorph energy (0 for the lowest one) (meV/atom) = 94
- V (Å³/atom) = 21.5
- DOS(E_F) (states/eV/cell) = 5.38
- total energy (eV per cell) = -52.635

Unit cell a=3.788 b=4.433 c=11.104 alpha=80.63 beta=84.18 gamma=69.25
Fractional positions:
Be 0.000 0.000 0.000
Be 0.248 0.718 0.752
Os 0.320 0.409 0.946
Os 0.641 0.856 0.871
Os 0.768 0.515 0.084
Os 0.972 0.263 0.778
I 0.463 0.410 0.583
I 0.830 0.931 0.245

***

Entry 8:
Density functional theory data (GGA-PBE) for Be3OsI after structural relaxation.

Computed properties:
- energy relative to the elements, uncorrected (eV per formula unit) = 11.61
- polymorph energy (0 for the lowest one) (meV/atom) = 1391
- V (Å³/atom) = 17.7
- DOS(E_F) (states/eV/cell) = 3.48
- total energy (eV per cell) = -12.353

Unit cell a=4.455 b=4.455 c=4.455 alpha=90.00 beta=90.00 gamma=90.00
Fractional positions:
Be 0.000 0.000 0.500
Be 0.000 0.500 0.000
Be 0.500 0.000 0.000
Os 0.500 0.500 0.500
I 0.000 0.000 0.000

***

Entry 9:
Density functional theory data (GGA-PBE) for Be2OsI after structural relaxation.

Computed properties:
- energy relative to the elements, uncorrected (eV per formula unit) = 4.58
- polymorph energy (0 for the lowest one) (meV/atom) = 130
- V (Å³/atom) = 14.2
- DOS(E_F) (states/eV/cell) = 8.85
- total energy (eV per cell) = -62.625

Unit cell a=6.095 b=6.095 c=6.095 alpha=90.00 beta=90.00 gamma=90.00
Fractional positions:
Be 0.250 0.250 0.250
Be 0.250 0.250 0.750
Be 0.250 0.750 0.250
Be 0.250 0.750 0.750
Be 0.750 0.250 0.250
Be 0.750 0.250 0.750
Be 0.750 0.750 0.250
Be 0.750 0.750 0.750
Os 0.000 0.000 0.000
Os 0.000 0.500 0.500
Os 0.500 0.000 0.500
Os 0.500 0.500 0.000
I 0.000 0.000 0.500
I 0.000 0.500 0.000
I 0.500 0.000 0.000
I 0.500 0.500 0.500

***

Entry 10:
Density functional theory data (GGA-PBE) for BeOs2I after structural relaxation.

Computed properties:
- energy relative to the elements, uncorrected (eV per formula unit) = 1.27
- polymorph energy (0 for the lowest one) (meV/atom) = 56
- V (Å³/atom) = 19.8
- DOS(E_F) (states/eV/cell) = 3.94
- total energy (eV per cell) = -52.939

Unit cell a=12.073 b=12.073 c=12.073 alpha=18.70 beta=18.70 gamma=18.70
Fractional positions:
Be 0.000 0.000 0.000
Be 0.370 0.370 0.370
Os 0.063 0.063 0.063
Os 0.301 0.301 0.301
Os 0.605 0.605 0.605
Os 0.681 0.681 0.681
I 0.442 0.442 0.442
I 0.888 0.888 0.888

***

Entry 11:
Density functional theory data (GGA-PBE) for BeOs2I after structural relaxation.

Computed properties:
- energy relative to the elements, uncorrected (eV per formula unit) = 1.19
- polymorph energy (0 for the lowest one) (meV/atom) = 36
- V (Å³/atom) = 22.6
- DOS(E_F) (states/eV/cell) = 10.92
- total energy (eV per cell) = -106.195

Unit cell a=7.238 b=4.135 c=12.122 alpha=90.00 beta=95.45 gamma=90.00
Fractional positions:
Be 0.000 0.000 0.000
Be 0.027 0.500 0.164
Be 0.500 0.500 0.000
Be 0.527 0.000 0.164
Os 0.170 0.500 0.001
Os 0.197 0.000 0.163
Os 0.333 0.000 0.940
Os 0.379 0.500 0.224
Os 0.670 0.000 0.001
Os 0.697 0.500 0.163
Os 0.833 0.500 0.940
Os 0.879 0.000 0.224
I 0.294 0.000 0.728
I 0.408 0.500 0.436
I 0.794 0.500 0.728
I 0.908 0.000 0.436

***

Entry 12:
Density functional theory data (GGA-PBE) for BeOs2I after structural relaxation.

Computed properties:
- energy relative to the elements, uncorrected (eV per formula unit) = 1.40
- polymorph energy (0 for the lowest one) (meV/atom) = 90
- V (Å³/atom) = 22.1
- DOS(E_F) (states/eV/cell) = 6.06
- total energy (eV per cell) = -52.668

Unit cell a=3.773 b=4.599 c=11.289 alpha=81.87 beta=89.84 gamma=65.78
Fractional positions:
Be 0.000 0.000 0.000
Be 0.236 0.524 0.245
Os 0.319 0.359 0.060
Os 0.621 0.755 0.126
Os 0.710 0.579 0.921
Os 0.955 0.085 0.217
I 0.227 0.547 0.743
I 0.449 0.092 0.409

***

Entry 13:
Density functional theory data (GGA-PBE) for BeOs2I after structural relaxation.

Computed properties:
- energy relative to the elements, uncorrected (eV per formula unit) = 4.44
- polymorph energy (0 for the lowest one) (meV/atom) = 850
- V (Å³/atom) = 14.9
- DOS(E_F) (states/eV/cell) = 8.99
- total energy (eV per cell) = -93.173

Unit cell a=6.202 b=6.202 c=6.202 alpha=90.00 beta=90.00 gamma=90.00
Fractional positions:
Be 0.000 0.000 0.000
Be 0.000 0.500 0.500
Be 0.500 0.000 0.500
Be 0.500 0.500 0.000
Os 0.250 0.250 0.250
Os 0.250 0.250 0.750
Os 0.250 0.750 0.250
Os 0.250 0.750 0.750
Os 0.750 0.250 0.250
Os 0.750 0.250 0.750
Os 0.750 0.750 0.250
Os 0.750 0.750 0.750
I 0.000 0.000 0.500
I 0.000 0.500 0.000
I 0.500 0.000 0.000
I 0.500 0.500 0.500

***

Entry 14:
Density functional theory data (GGA-PBE) for BeOsI3 after structural relaxation.

Computed properties:
- energy relative to the elements, uncorrected (eV per formula unit) = 6.66
- polymorph energy (0 for the lowest one) (meV/atom) = 196
- V (Å³/atom) = 28.8
- DOS(E_F) (states/eV/cell) = 6.80
- total energy (eV per cell) = -12.950

Unit cell a=5.241 b=5.241 c=5.241 alpha=90.00 beta=90.00 gamma=90.00
Fractional positions:
Be 0.000 0.000 0.000
Os 0.500 0.500 0.500
I 0.000 0.000 0.500
I 0.000 0.500 0.000
I 0.500 0.000 0.000

***

Entry 15:
Density functional theory data (GGA-PBE) for BeOsI3 after structural relaxation.

Computed properties:
- energy relative to the elements, uncorrected (eV per formula unit) = 5.68
- polymorph energy (0 for the lowest one) (meV/atom) = 0
- V (Å³/atom) = 32.3
- DOS(E_F) (states/eV/cell) = 5.15
- total energy (eV per cell) = -13.931

Unit cell a=5.447 b=5.447 c=5.447 alpha=90.00 beta=90.00 gamma=90.00
Fractional positions:
Be 0.000 0.000 0.000
Os 0.500 0.500 0.500
I 0.000 0.500 0.500
I 0.500 0.000 0.500
I 0.500 0.500 0.000

***

Entry 16:
Density functional theory data (GGA-PBE) for Be2OsI2 after structural relaxation.

Computed properties:
- energy relative to the elements, uncorrected (eV per formula unit) = 7.19
- polymorph energy (0 for the lowest one) (meV/atom) = 125
- V (Å³/atom) = 19.1
- DOS(E_F) (states/eV/cell) = 4.50
- total energy (eV per cell) = -29.177

Unit cell a=7.386 b=7.386 c=3.503 alpha=90.00 beta=90.00 gamma=90.00
Fractional positions:
Be 0.187 0.313 0.000
Be 0.313 0.813 0.000
Be 0.687 0.187 0.000
Be 0.813 0.687 0.000
Os 0.000 0.000 0.500
Os 0.500 0.500 0.500
I 0.160 0.660 0.500
I 0.340 0.160 0.500
I 0.660 0.840 0.500
I 0.840 0.340 0.500

***

Entry 17:
Density functional theory data (GGA-PBE) for Be2OsI after structural relaxation.

Computed properties:
- energy relative to the elements, uncorrected (eV per formula unit) = 4.06
- polymorph energy (0 for the lowest one) (meV/atom) = 0
- V (Å³/atom) = 20.5
- DOS(E_F) (states/eV/cell) = 0.53
- total energy (eV per cell) = -64.707

Unit cell a=5.632 b=5.632 c=10.352 alpha=90.00 beta=90.00 gamma=90.00
Fractional positions:
Be 0.198 0.250 0.125
Be 0.250 0.698 0.375
Be 0.250 0.802 0.875
Be 0.302 0.250 0.625
Be 0.698 0.750 0.625
Be 0.750 0.198 0.875
Be 0.750 0.302 0.375
Be 0.802 0.750 0.125
Os 0.000 0.000 0.000
Os 0.000 0.500 0.250
Os 0.500 0.000 0.750
Os 0.500 0.500 0.500
I 0.000 0.000 0.500
I 0.000 0.500 0.750
I 0.500 0.000 0.250
I 0.500 0.500 0.000

***

Entry 18:
Density functional theory data (GGA-PBE) for Be2OsI2 after structural relaxation.

Computed properties:
- energy relative to the elements, uncorrected (eV per formula unit) = 6.57
- polymorph energy (0 for the lowest one) (meV/atom) = 0
- V (Å³/atom) = 19.3
- DOS(E_F) (states/eV/cell) = 9.26
- total energy (eV per cell) = -30.422

Unit cell a=3.237 b=3.237 c=18.407 alpha=90.00 beta=90.00 gamma=90.00
Fractional positions:
Be 0.000 0.500 0.250
Be 0.000 0.500 0.750
Be 0.500 0.000 0.250
Be 0.500 0.000 0.750
Os 0.000 0.000 0.000
Os 0.500 0.500 0.500
I 0.000 0.000 0.402
I 0.000 0.000 0.598
I 0.500 0.500 0.098
I 0.500 0.500 0.902

***

Entry 19:
Density functional theory data (GGA-PBE) for Be3OsI after structural relaxation.

Computed properties:
- energy relative to the elements, uncorrected (eV per formula unit) = 4.65
- polymorph energy (0 for the lowest one) (meV/atom) = 0
- V (Å³/atom) = 16.9
- DOS(E_F) (states/eV/cell) = 3.57
- total energy (eV per cell) = -19.308

Unit cell a=4.389 b=4.389 c=4.389 alpha=90.00 beta=90.00 gamma=90.00
Fractional positions:
Be 0.000 0.000 0.500
Be 0.000 0.500 0.000
Be 0.500 0.000 0.000
Os 0.000 0.000 0.000
I 0.500 0.500 0.500

***

Entry 20:
Density functional theory data (GGA-PBE) for Rb2BeOsI6 after structural relaxation.

Computed properties:
- energy relative to the elements, uncorrected (eV per formula unit) = -3.82
- V (Å³/atom) = 43.6
- DOS(E_F) (states/eV/cell) = 0.00
- total energy (eV per cell) = -30.010

Unit cell a=8.438 b=8.438 c=8.438 alpha=118.20 beta=118.20 gamma=93.15
Fractional positions:
Rb 0.250 0.750 0.500
Rb 0.750 0.250 0.500
Be 0.000 0.000 0.000
Os 0.500 0.500 0.000
I 0.192 0.192 0.000
I 0.283 0.283 0.566
I 0.283 0.717 0.000
I 0.717 0.283 0.000
I 0.717 0.717 0.434
I 0.808 0.808 0.000

***

Entry 21:
Density functional theory data (GGA-PBE) for BeOsRuI2 after structural relaxation.

Computed properties:
- energy relative to the elements, uncorrected (eV per formula unit) = 8.57
- V (Å³/atom) = 19.1
- DOS(E_F) (states/eV/cell) = 5.54
- total energy (eV per cell) = -18.763

Unit cell a=4.840 b=4.840 c=4.087 alpha=90.00 beta=90.00 gamma=90.00
Fractional positions:
Be 0.000 0.000 0.000
Os 0.500 0.500 0.500
Ru 0.000 0.000 0.500
I 0.000 0.500 0.000
I 0.500 0.000 0.000

***

Entry 22:
Density functional theory data (GGA-PBE) for BeOsSI2 after structural relaxation.

Computed properties:
- energy relative to the elements, uncorrected (eV per formula unit) = 5.23
- V (Å³/atom) = 24.0
- DOS(E_F) (states/eV/cell) = 4.64
- total energy (eV per cell) = -16.953

Unit cell a=5.259 b=5.259 c=4.340 alpha=90.00 beta=90.00 gamma=90.00
Fractional positions:
Be 0.000 0.000 0.000
Os 0.000 0.000 0.500
S 0.500 0.500 0.000
I 0.000 0.500 0.500
I 0.500 0.000 0.500

***

Entry 23:
Density functional theory data (GGA-PBE) for BeTe2OsI after structural relaxation.

Computed properties:
- energy relative to the elements, uncorrected (eV per formula unit) = 5.63
- polymorph energy (0 for the lowest one) (meV/atom) = 0
- V (Å³/atom) = 30.4
- DOS(E_F) (states/eV/cell) = 6.05
- total energy (eV per cell) = -17.160

Unit cell a=5.157 b=5.157 c=5.713 alpha=90.00 beta=90.00 gamma=90.00
Fractional positions:
Be 0.000 0.000 0.000
Te 0.000 0.500 0.500
Te 0.500 0.000 0.500
Os 0.500 0.500 0.500
I 0.500 0.500 0.000

***

Entry 24:
Density functional theory data (GGA-PBE) for BeTe2OsI after structural relaxation.

Computed properties:
- energy relative to the elements, uncorrected (eV per formula unit) = 6.65
- polymorph energy (0 for the lowest one) (meV/atom) = 204
- V (Å³/atom) = 22.4
- DOS(E_F) (states/eV/cell) = 3.73
- total energy (eV per cell) = -16.142

Unit cell a=4.803 b=4.803 c=4.859 alpha=90.00 beta=90.00 gamma=90.00
Fractional positions:
Be 0.000 0.000 0.000
Te 0.000 0.500 0.000
Te 0.500 0.000 0.000
Os 0.500 0.500 0.500
I 0.000 0.000 0.500

***

Entry 25:
Density functional theory data (GGA-PBE) for BeTeOs2I after structural relaxation.

Computed properties:
- energy relative to the elements, uncorrected (eV per formula unit) = 12.17
- V (Å³/atom) = 30.6
- DOS(E_F) (states/eV/cell) = 6.07
- total energy (eV per cell) = -18.704

Unit cell a=4.860 b=4.860 c=6.470 alpha=90.00 beta=90.00 gamma=90.00
Fractional positions:
Be 0.000 0.000 0.000
Te 0.500 0.500 0.500
Os 0.000 0.500 0.500
Os 0.500 0.000 0.500
I 0.500 0.500 0.000